# 1
Density functional theory data (GGA-PBE) for a geometry-optimized SrZn2CdSn structure.

a b c (Å): 4.5248 4.5597 11.8051
angles (deg): 90.00 90.00 90.00
Last column: nearest neighbours and their distance in Å.
Fractional positions:
Sr  0.0000  0.0000  0.0000  8 Zn 3.48-3.85, 4 Sn 3.48, 4 Cd 3.61-3.84
Sr  0.5000  0.5000  0.5000  8 Zn 3.48-3.85, 4 Sn 3.48, 4 Cd 3.61-3.84
Zn  0.0000  0.0000  0.3870  1 Sn 2.68, 2 Cd 2.69, 2 Zn 2.71
Zn  0.0000  0.5000  0.2626  2 Zn 2.71, 2 Sn 2.86
Zn  0.5000  0.0000  0.7626  2 Zn 2.71, 2 Sn 2.86
Zn  0.5000  0.5000  0.8870  1 Sn 2.68, 2 Cd 2.69, 2 Zn 2.71
Cd  0.0000  0.5000  0.7631  2 Zn 2.69, 2 Sn 2.88
Cd  0.5000  0.0000  0.2631  2 Zn 2.69, 2 Sn 2.88
Sn  0.0000  0.0000  0.6144  3 Zn 2.68-2.86, 2 Cd 2.88
Sn  0.5000  0.5000  0.1144  3 Zn 2.68-2.86, 2 Cd 2.88

SG: Imm2, No. 44

---

# 2
Density functional theory data (GGA-PBE) for a geometry-optimized SrZnCdSn2 structure.

a b c (Å): 4.8189 4.8189 11.8807
angles (deg): 90.00 90.00 90.00
Last column: nearest neighbours and their distance in Å.
Fractional positions:
Sr  0.0000  0.0000  0.0000  8 Sn 3.70, 4 Cd 3.82, 4 Zn 3.82
Sr  0.5000  0.5000  0.5000  8 Sn 3.70, 4 Cd 3.82, 4 Zn 3.82
Zn  0.0000  0.5000  0.2500  4 Sn 2.86
Zn  0.5000  0.0000  0.7500  4 Sn 2.86
Cd  0.0000  0.5000  0.7500  4 Sn 2.86
Cd  0.5000  0.0000  0.2500  4 Sn 2.86
Sn  0.0000  0.0000  0.3795  2 Cd 2.86, 2 Zn 2.86, 1 Sn 2.86
Sn  0.0000  0.0000  0.6205  2 Cd 2.86, 2 Zn 2.86, 1 Sn 2.86
Sn  0.5000  0.5000  0.1205  2 Cd 2.86, 2 Zn 2.86, 1 Sn 2.86
Sn  0.5000  0.5000  0.8795  2 Cd 2.86, 2 Zn 2.86, 1 Sn 2.86

SG: I-4m2, No. 119

---

# 3
Density functional theory data (GGA-PBE) for a geometry-optimized TaCd3Sn structure.

a b c (Å): 5.3929 5.3929 5.3929
angles (deg): 90.00 90.00 90.00
Last column: nearest neighbours and their distance in Å.
Fractional positions:
Ta  0.0000  0.0000  0.0000  12 Cd 3.81
Cd  0.0000  0.5000  0.5000  2 Sn 2.70
Cd  0.5000  0.0000  0.5000  2 Sn 2.70
Cd  0.5000  0.5000  0.0000  2 Sn 2.70
Sn  0.5000  0.5000  0.5000  6 Cd 2.70

SG: Pm-3m, No. 221

---

| no. | formation energy (eV per atom) |
| --- | --- |
| 1 | -0.299 |
| 2 | -0.297 |
| 3 | 1.425 |